No. 1
Computed, not measured: Be3AlPt after structural relaxation at the GGA-PBE level of DFT.

Results
- Energy: -3.14 eV/atom
- E above lowest polymorph: 0.7890 eV per atom
- Calculated volume: 72.44 Å³/f.u.
- Space group: Pm-3m
- E_form: 1.051 eV per atom

Cell: 4.169 4.169 4.169 Å, 90.00 90.00 90.00°
Sites, in units of the cell vectors:
Be: 0.000 0.000 0.500
Be: 0.000 0.500 0.000
Be: 0.500 0.000 0.000
Al: 0.000 0.000 0.000
Pt: 0.500 0.500 0.500

---

No. 2
Computed, not measured: LiMnHgSb after structural relaxation at the GGA-PBE level of DFT.

Results
- Energy: -3.92 eV/atom
- Calculated volume: 80.48 Å³/f.u.
- Raw formation energy: -44 meV per atom
- Space group: F-43m

Cell: 4.846 4.846 4.846 Å, 60.00 60.00 60.00°
Sites, in units of the cell vectors:
Li: 0.000 0.000 0.000
Mn: 0.500 0.500 0.500
Hg: 0.250 0.250 0.250
Sb: 0.750 0.750 0.750

---

No. 3
Computed, not measured: KMn2Re after structural relaxation at the GGA-PBE level of DFT.

Results
- Energy: -7.18 eV/atom
- E above lowest polymorph: 0.1210 eV per atom
- Calculated volume: 85.40 Å³/f.u.
- Space group: C2/m
- E_form: 0.791 eV per atom

Cell: 4.366 4.366 7.402 Å, 93.19 93.19 37.32°
Sites, in units of the cell vectors:
K: 0.000 0.000 0.000
Mn: 0.236 0.236 0.648
Mn: 0.764 0.764 0.352
Re: 0.500 0.500 0.500